1.
Here is a relaxed structure of BeInGe2F from Alexandria via LeMat-Bulk. Energies are from GGA-PBE.

Properties
Raw formation energy (eV per atom): -0.399
Size of the total moment (μB/cell): 0.0

Unit cell a=5.224 b=3.199 c=5.224 alpha=90.00 beta=90.00 gamma=90.00
Element x y z (fractional)
Be  0.000  0.000  0.000
Ge  0.000  0.000  0.500
Ge  0.500  0.000  0.000
F  0.000  0.500  0.000
In  0.500  0.500  0.500

=====

2.
Here is a relaxed structure of TbDy2Ho from Alexandria via LeMat-Bulk. Energies are from GGA-PBE.

Properties
Size of the total moment (μB/cell): 0.0
E_form (kcal/mol of atoms): 0.43

Unit cell a=3.534 b=3.534 c=9.996 alpha=90.00 beta=90.00 gamma=90.00
Element x y z (fractional)
Tb  0.500  0.500  0.500
Ho  0.500  0.500  0.000
Dy  0.000  0.000  0.751
Dy  0.000  0.000  0.249

=====

3.
Here is a relaxed structure of Y4TlAu from Alexandria via LeMat-Bulk. Energies are from GGA-PBE.

Properties
Size of the total moment (μB/cell): 0.0
E_form (kcal/mol of atoms): -5.66

Unit cell a=7.157 b=7.206 c=7.445 alpha=90.00 beta=91.05 gamma=90.00
Element x y z (fractional)
Y  0.860  0.648  0.171
Y  0.640  0.148  0.829
Y  0.333  0.340  0.352
Y  0.167  0.840  0.648
Y  0.140  0.352  0.829
Y  0.360  0.852  0.171
Y  0.667  0.660  0.648
Y  0.833  0.160  0.352
Tl  0.000  0.000  0.000
Tl  0.500  0.500  0.000
Au  0.500  0.000  0.500
Au  0.000  0.500  0.500

=====

4.
Here is a relaxed structure of FeAgSe2N from Alexandria via LeMat-Bulk. Energies are from GGA-PBE.

Properties
Raw formation energy (eV per atom): 1.417
Size of the total moment (μB/cell): 5.8

Unit cell a=5.176 b=5.176 c=3.933 alpha=90.00 beta=90.00 gamma=90.00
Last column: magnetic moment on the atom in μB.
Element x y z (fractional)
N  0.000  0.000  0.500  0.98
Se  0.000  0.500  0.000  0.22
Se  0.500  0.000  0.000  0.22
Ag  0.000  0.000  0.000  0.09
Fe  0.500  0.500  0.500  3.46

=====

5.
Here is a relaxed structure of Nd5Sm4Zn from Alexandria via LeMat-Bulk. Energies are from GGA-PBE.

Properties
Size of the total moment (μB/cell): 0.0
E_form (kcal/mol of atoms): -1.20

Unit cell a=3.673 b=3.673 c=24.255 alpha=90.00 beta=90.00 gamma=90.00
Element x y z (fractional)
Nd  0.500  0.500  0.075
Nd  0.500  0.500  0.288
Nd  0.500  0.500  0.500
Nd  0.500  0.500  0.712
Nd  0.500  0.500  0.925
Sm  0.000  0.000  0.183
Sm  0.000  0.000  0.394
Sm  0.000  0.000  0.606
Sm  0.000  0.000  0.817
Zn  0.000  0.000  0.000

=====

6.
Here is a relaxed structure of In3Bi2H4 from Alexandria via LeMat-Bulk. Energies are from GGA-PBE.

Properties
Size of the total moment (μB/cell): 0.0
Final energy (eV/atom): -2.917

Unit cell a=6.525 b=13.654 c=13.654 alpha=19.18 beta=88.64 gamma=88.64
Element x y z (fractional)
In  0.758  0.206  0.206
In  0.742  0.794  0.794
In  0.242  0.794  0.794
In  0.258  0.206  0.206
In  0.250  0.508  0.492
In  0.750  0.492  0.508
Bi  0.485  0.275  0.475
Bi  0.015  0.525  0.725
Bi  0.515  0.725  0.525
Bi  0.985  0.475  0.275
H  0.499  0.753  0.294
H  0.001  0.706  0.247
H  0.501  0.247  0.706
H  0.999  0.294  0.753
H  0.989  0.186  0.443
H  0.511  0.557  0.814
H  0.011  0.814  0.557
H  0.489  0.443  0.186

=====

7.
Here is a relaxed structure of CsBePd3 from Alexandria via LeMat-Bulk. Energies are from GGA-PBE.

Properties
Size of the total moment (μB/cell): 0.0
E_form (kcal/mol of atoms): 41.38

Unit cell a=5.290 b=5.290 c=5.290 alpha=90.00 beta=90.00 gamma=90.00
Element x y z (fractional)
Cs  0.000  0.000  0.000
Be  0.500  0.500  0.500
Pd  0.000  0.500  0.000
Pd  0.000  0.000  0.500
Pd  0.500  0.000  0.000

=====

8.
Here is a relaxed structure of CuMoS2N from Alexandria via LeMat-Bulk. Energies are from GGA-PBE.

Properties
Raw formation energy (eV per atom): 1.075
Size of the total moment (μB/cell): 1.5

Unit cell a=4.631 b=4.631 c=3.595 alpha=90.00 beta=90.00 gamma=90.00
Last column: magnetic moment on the atom in μB.
Element x y z (fractional)
Mo  0.500  0.500  0.500  2.85
S  0.000  0.500  0.000  -0.18
S  0.500  0.000  0.000  -0.18
Cu  0.000  0.000  0.000  -0.14
N  0.000  0.000  0.500  -0.87

=====

9.
Here is a relaxed structure of MoAuCl2 from Alexandria via LeMat-Bulk. Energies are from GGA-PBE.

Properties
Raw formation energy (eV per atom): 0.646
Size of the total moment (μB/cell): 3.0

Unit cell a=4.780 b=4.780 c=4.780 alpha=60.00 beta=60.00 gamma=60.00
Last column: magnetic moment on the atom in μB.
Element x y z (fractional)
Mo  0.750  0.750  0.750  2.73
Au  0.500  0.500  0.500  -0.03
Cl  0.000  0.000  0.000  -0.06
Cl  0.250  0.250  0.250  -0.01

=====

10.
Here is a relaxed structure of Nb6Rh3N from Alexandria via LeMat-Bulk. Energies are from GGA-PBE.

Properties
Raw formation energy (eV per atom): -0.245
Size of the total moment (μB/cell): 0.0

Unit cell a=7.503 b=6.785 c=6.785 alpha=47.58 beta=45.56 gamma=45.56
Element x y z (fractional)
Nb  0.404  0.167  0.659
Nb  0.596  0.341  0.833
Nb  0.596  0.833  0.341
Nb  0.404  0.659  0.167
Nb  0.079  0.751  0.751
Nb  0.921  0.249  0.249
Rh  0.143  0.347  0.347
Rh  0.857  0.653  0.653
Rh  0.000  0.000  0.000
N  0.500  0.500  0.500

=====

11.
Here is a relaxed structure of Na4Tb3ThSe8 from Alexandria via LeMat-Bulk. Energies are from GGA-PBE.

Properties
Raw formation energy (eV per atom): -1.646
Size of the total moment (μB/cell): 0.0

Unit cell a=8.329 b=8.529 c=8.329 alpha=119.23 beta=120.00 gamma=90.00
Element x y z (fractional)
Na  0.500  0.000  0.000
Na  0.500  0.000  0.500
Na  0.000  0.000  0.000
Na  0.000  0.000  0.500
Tb  0.500  0.500  0.000
Tb  0.500  0.500  0.500
Tb  0.000  0.500  0.500
Th  0.000  0.500  0.000
Se  0.246  0.735  0.989
Se  0.246  0.735  0.493
Se  0.256  0.269  0.512
Se  0.742  0.735  0.989
Se  0.258  0.265  0.011
Se  0.744  0.731  0.488
Se  0.754  0.265  0.507
Se  0.754  0.265  0.011

=====

12.
Here is a relaxed structure of KLiTm2Br8 from Alexandria via LeMat-Bulk. Energies are from GGA-PBE.

Properties
Raw formation energy (eV per atom): -1.747
Size of the total moment (μB/cell): 0.0

Unit cell a=7.165 b=6.944 c=8.506 alpha=89.99 beta=90.00 gamma=82.07
Element x y z (fractional)
K  0.000  0.000  0.500
Li  0.000  0.000  0.000
Tm  0.500  0.500  0.757
Tm  0.500  0.500  0.243
Br  0.173  0.751  0.219
Br  0.642  0.716  0.000
Br  0.827  0.249  0.219
Br  0.827  0.249  0.781
Br  0.358  0.284  0.000
Br  0.173  0.751  0.781
Br  0.634  0.704  0.500
Br  0.366  0.296  0.500

=====

13.
Here is a relaxed structure of TeOs2W from Alexandria via LeMat-Bulk. Energies are from GGA-PBE.

Properties
Raw formation energy (eV per atom): 0.783
Size of the total moment (μB/cell): 0.0

Unit cell a=2.999 b=4.743 c=4.625 alpha=90.00 beta=90.00 gamma=90.00
Element x y z (fractional)
Os  0.000  0.000  0.000
Os  0.500  0.500  0.000
Te  0.500  0.000  0.500
W  0.000  0.500  0.500

=====

14.
Here is a relaxed structure of LaFeSCl2 from Alexandria via LeMat-Bulk. Energies are from GGA-PBE.

Properties
Raw formation energy (eV per atom): -0.633
Size of the total moment (μB/cell): 4.2

Unit cell a=5.524 b=5.524 c=5.596 alpha=90.00 beta=90.00 gamma=90.00
Last column: magnetic moment on the atom in μB.
Element x y z (fractional)
S  0.000  0.000  0.500  0.00
Cl  0.000  0.500  0.000  0.02
Cl  0.500  0.000  0.000  0.02
Fe  0.500  0.500  0.500  3.58
La  0.000  0.000  0.000  0.00

=====

15.
Here is a relaxed structure of Pr2ZnGePd6 from Alexandria via LeMat-Bulk. Energies are from GGA-PBE.

Properties
Size of the total moment (μB/cell): 0.0
E_form (kcal/mol of atoms): -13.07

Unit cell a=5.723 b=8.182 c=5.730 alpha=69.53 beta=59.95 gamma=90.04
Element x y z (fractional)
Pr  0.207  0.629  0.583
Pr  0.793  0.371  0.417
Zn  0.500  0.500  0.000
Ge  0.000  0.000  0.000
Pd  0.259  0.763  0.990
Pd  0.748  0.765  0.988
Pd  0.251  0.235  0.502
Pd  0.741  0.237  0.010
Pd  0.252  0.235  0.012
Pd  0.749  0.765  0.498

=====

16.
Here is a relaxed structure of K2SrHfTe4 from Alexandria via LeMat-Bulk. Energies are from GGA-PBE.

Properties
Raw formation energy (eV per atom): -1.145
Size of the total moment (μB/cell): 0.0

Unit cell a=4.454 b=8.004 c=8.574 alpha=106.82 beta=90.00 gamma=90.00
Element x y z (fractional)
K  0.500  0.000  0.500
K  0.000  0.500  0.500
Sr  0.500  0.500  0.000
Hf  0.000  0.000  0.000
Te  0.500  0.205  0.200
Te  0.500  0.795  0.800
Te  0.000  0.227  0.790
Te  0.000  0.773  0.210

=====

17.
Here is a relaxed structure of BaCdRhPb from Alexandria via LeMat-Bulk. Energies are from GGA-PBE.

Properties
Size of the total moment (μB/cell): 0.0
E_form (kcal/mol of atoms): -6.36

Unit cell a=4.792 b=4.792 c=6.536 alpha=68.50 beta=68.50 gamma=60.00
Element x y z (fractional)
Ba  0.813  0.813  0.561
Cd  0.273  0.273  0.180
Rh  0.625  0.625  0.126
Pb  0.015  0.015  0.955

=====

18.
Here is a relaxed structure of KLi2HgPb from Alexandria via LeMat-Bulk. Energies are from GGA-PBE.

Properties
Size of the total moment (μB/cell): 0.0
E_form (kcal/mol of atoms): -2.66

Unit cell a=5.396 b=5.961 c=5.396 alpha=90.00 beta=90.00 gamma=90.00
Element x y z (fractional)
Pb  0.000  0.000  0.000
K  0.500  0.500  0.500
Hg  0.000  0.500  0.000
Li  0.000  0.000  0.500
Li  0.500  0.000  0.000

=====

19.
Here is a relaxed structure of Sm2Ni4Ge3Ir from Alexandria via LeMat-Bulk. Energies are from GGA-PBE.

Properties
Size of the total moment (μB/cell): 0.0
E_form (kcal/mol of atoms): -13.57

Unit cell a=4.064 b=4.064 c=10.029 alpha=90.00 beta=90.00 gamma=90.00
Element x y z (fractional)
Sm  0.500  0.000  0.250
Sm  0.000  0.500  0.750
Ni  0.500  0.500  0.000
Ni  0.000  0.000  0.000
Ni  0.500  0.000  0.639
Ni  0.000  0.500  0.361
Ge  0.000  0.000  0.500
Ge  0.500  0.000  0.875
Ge  0.000  0.500  0.125
Ir  0.500  0.500  0.500

=====

20.
Here is a relaxed structure of SnGeC3 from Alexandria via LeMat-Bulk. Energies are from GGA-PBE.

Properties
Size of the total moment (μB/cell): 0.0
E_form (kcal/mol of atoms): 68.16

Unit cell a=4.333 b=4.333 c=4.333 alpha=90.00 beta=90.00 gamma=90.00
Element x y z (fractional)
C  0.000  0.500  0.000
C  0.000  0.000  0.500
C  0.500  0.000  0.000
Ge  0.500  0.500  0.500
Sn  0.000  0.000  0.000

=====

21.
Here is a relaxed structure of Ho6Cd5In from Alexandria via LeMat-Bulk. Energies are from GGA-PBE.

Properties
Size of the total moment (μB/cell): 0.0
E_form (kcal/mol of atoms): -8.01

Unit cell a=5.266 b=7.478 c=8.338 alpha=90.00 beta=71.73 gamma=90.00
Element x y z (fractional)
Cd  0.667  0.500  0.668
Cd  0.331  0.000  0.338
Cd  0.000  0.500  0.000
Cd  0.669  0.000  0.662
Cd  0.333  0.500  0.332
Ho  0.833  0.749  0.334
Ho  0.833  0.251  0.334
Ho  0.500  0.251  0.000
Ho  0.500  0.749  0.000
Ho  0.167  0.749  0.666
Ho  0.167  0.251  0.666
In  0.000  0.000  0.000

=====

22.
Here is a relaxed structure of LiCaEr2Cd4 from Alexandria via LeMat-Bulk. Energies are from GGA-PBE.

Properties
Size of the total moment (μB/cell): 0.0
E_form (kcal/mol of atoms): -6.24

Unit cell a=5.186 b=5.186 c=8.991 alpha=73.24 beta=73.24 gamma=60.00
Element x y z (fractional)
Li  0.500  0.500  0.500
Ca  0.000  0.000  0.000
Er  0.751  0.751  0.747
Er  0.249  0.249  0.253
Cd  0.381  0.381  0.857
Cd  0.873  0.873  0.382
Cd  0.127  0.127  0.618
Cd  0.619  0.619  0.143

=====

23.
Here is a relaxed structure of KNdPaSe4 from Alexandria via LeMat-Bulk. Energies are from GGA-PBE.

Properties
Raw formation energy (eV per atom): -1.527
Size of the total moment (μB/cell): 2.0

Unit cell a=8.808 b=8.875 c=8.990 alpha=120.43 beta=90.00 gamma=119.75
Last column: magnetic moment on the atom in μB.
Element x y z (fractional)
K  0.873  0.746  0.123  0.00
K  0.127  0.254  0.877  0.00
Nd  0.500  0.000  0.500  0.02
Nd  0.500  0.000  0.000  0.02
Pa  0.500  0.500  0.500  1.00
Pa  0.000  0.500  0.500  1.00
Se  0.738  0.477  0.697  -0.02
Se  0.302  0.046  0.273  -0.01
Se  0.744  0.046  0.273  -0.01
Se  0.738  0.477  0.280  -0.02
Se  0.262  0.523  0.720  -0.02
Se  0.698  0.954  0.727  -0.01
Se  0.256  0.954  0.727  -0.01
Se  0.262  0.523  0.303  -0.02

=====

24.
Here is a relaxed structure of La2SmTl from Alexandria via LeMat-Bulk. Energies are from GGA-PBE.

Properties
Size of the total moment (μB/cell): 0.0
E_form (kcal/mol of atoms): 1.90

Unit cell a=3.622 b=3.622 c=12.860 alpha=81.90 beta=81.90 gamma=60.00
Element x y z (fractional)
Tl  0.000  0.000  0.000
Sm  0.500  0.500  0.500
La  0.089  0.089  0.733
La  0.911  0.911  0.267

=====

25.
Here is a relaxed structure of La3HfNi from Alexandria via LeMat-Bulk. Energies are from GGA-PBE.

Properties
Size of the total moment (μB/cell): 0.0
E_form (kcal/mol of atoms): 6.70

Unit cell a=5.398 b=5.398 c=5.398 alpha=90.00 beta=90.00 gamma=90.00
Element x y z (fractional)
Ni  0.000  0.000  0.000
Hf  0.500  0.500  0.500
La  0.000  0.500  0.000
La  0.000  0.000  0.500
La  0.500  0.000  0.000